Entry 1:
# Mg2Ag3

A geometry-optimized Mg2Ag3 structure (GGA-PBE, Alexandria).

Summary:
Excess energy over the best structure of this formula in the dataset = 177 meV/atom
Symmetry = R-3m
Calculated formation energy = -0.02 eV/atom

Cell lengths 3.048, 3.048, 35.890 Å; angles 90.00, 90.00, 120.00 degrees
Sites, in units of the cell vectors:
Mg: 0.000 0.000 0.205
Mg: 0.000 0.000 0.795
Mg: 0.333 0.667 0.462
Mg: 0.333 0.667 0.872
Mg: 0.667 0.333 0.128
Mg: 0.667 0.333 0.538
Ag: 0.000 0.000 0.000
Ag: 0.000 0.000 0.399
Ag: 0.000 0.000 0.601
Ag: 0.333 0.667 0.065
Ag: 0.333 0.667 0.268
Ag: 0.333 0.667 0.667
Ag: 0.667 0.333 0.333
Ag: 0.667 0.333 0.732
Ag: 0.667 0.333 0.935

Entry 2:
# Na2ScInSn

A geometry-optimized Na2ScInSn structure (GGA-PBE, Alexandria).

Summary:
Symmetry = P4/mmm
Calculated formation energy = 0.38 eV/atom

Cell lengths 5.398, 5.398, 5.604 Å; angles 90.00, 90.00, 90.00 degrees
Sites, in units of the cell vectors:
Na: 0.000 0.500 0.000
Na: 0.500 0.000 0.000
Sc: 0.000 0.000 0.500
In: 0.000 0.000 0.000
Sn: 0.500 0.500 0.500

Entry 3:
# K2BaZn3F12

A geometry-optimized K2BaZn3F12 structure (GGA-PBE, Alexandria).

Summary:
E_form (uncorrected) = -2459 meV per atom
Symmetry = R-3m

Cell lengths 7.231, 7.231, 7.231 Å; angles 63.79, 63.79, 63.79 degrees
Sites, in units of the cell vectors:
K: 0.116 0.116 0.116
K: 0.884 0.884 0.884
Ba: 0.500 0.500 0.500
Zn: 0.000 0.500 0.500
Zn: 0.500 0.000 0.500
Zn: 0.500 0.500 0.000
F: 0.059 0.635 0.635
F: 0.231 0.231 0.613
F: 0.231 0.613 0.231
F: 0.365 0.365 0.941
F: 0.365 0.941 0.365
F: 0.387 0.769 0.769
F: 0.613 0.231 0.231
F: 0.635 0.059 0.635
F: 0.635 0.635 0.059
F: 0.769 0.387 0.769
F: 0.769 0.769 0.387
F: 0.941 0.365 0.365

Entry 4:
# Be2Cu2Cl

A geometry-optimized Be2Cu2Cl structure (GGA-PBE, Alexandria).

Summary:
E_form (uncorrected) = 436 meV per atom
Symmetry = I4/mmm

Cell lengths 3.321, 3.321, 12.844 Å; angles 90.00, 90.00, 90.00 degrees
Sites, in units of the cell vectors:
Be: 0.000 0.000 0.120
Be: 0.000 0.000 0.880
Be: 0.500 0.500 0.380
Be: 0.500 0.500 0.620
Cu: 0.000 0.500 0.250
Cu: 0.000 0.500 0.750
Cu: 0.500 0.000 0.250
Cu: 0.500 0.000 0.750
Cl: 0.000 0.000 0.500
Cl: 0.500 0.500 0.000

Entry 5:
# Ca3Si4Ir4

A geometry-optimized Ca3Si4Ir4 structure (GGA-PBE, Alexandria).

Summary:
E_form (uncorrected) = -871 meV per atom
Symmetry = I-43m

Cell lengths 6.473, 6.473, 6.473 Å; angles 109.47, 109.47, 109.47 degrees
Sites, in units of the cell vectors:
Ca: 0.000 0.500 0.500
Ca: 0.500 0.000 0.500
Ca: 0.500 0.500 0.000
Si: 0.000 0.000 0.366
Si: 0.000 0.366 0.000
Si: 0.366 0.000 0.000
Si: 0.634 0.634 0.634
Ir: 0.000 0.000 0.721
Ir: 0.000 0.721 0.000
Ir: 0.279 0.279 0.279
Ir: 0.721 0.000 0.000

Entry 6:
# LaPr2YSe4

A geometry-optimized LaPr2YSe4 structure (GGA-PBE, Alexandria).

Summary:
E_form (uncorrected) = -1860 meV per atom
Symmetry = P2/m

Cell lengths 7.360, 4.186, 7.370 Å; angles 90.00, 108.87, 90.00 degrees
Sites, in units of the cell vectors:
La: 0.000 0.000 0.000
Pr: 0.500 0.000 0.500
Pr: 0.500 0.500 0.000
Y: 0.000 0.500 0.500
Se: 0.239 0.000 0.738
Se: 0.245 0.500 0.257
Se: 0.755 0.500 0.743
Se: 0.761 0.000 0.262

Entry 7:
# NbInFeRu

A geometry-optimized NbInFeRu structure (GGA-PBE, Alexandria).

Summary:
Symmetry = F-43m
Calculated formation energy = -0.09 eV/atom

Cell lengths 6.283, 6.283, 6.283 Å; angles 90.00, 90.00, 90.00 degrees
Sites, in units of the cell vectors:
Nb: 0.000 0.000 0.000
Nb: 0.000 0.500 0.500
Nb: 0.500 0.000 0.500
Nb: 0.500 0.500 0.000
In: 0.000 0.000 0.500
In: 0.000 0.500 0.000
In: 0.500 0.000 0.000
In: 0.500 0.500 0.500
Fe: 0.250 0.250 0.250
Fe: 0.250 0.750 0.750
Fe: 0.750 0.250 0.750
Fe: 0.750 0.750 0.250
Ru: 0.250 0.250 0.750
Ru: 0.250 0.750 0.250
Ru: 0.750 0.250 0.250
Ru: 0.750 0.750 0.750

Entry 8:
# BaZrMo

A geometry-optimized BaZrMo structure (GGA-PBE, Alexandria).

Summary:
Excess energy over the best structure of this formula in the dataset = 382 meV/atom
Symmetry = P3m1
Calculated formation energy = 1.00 eV/atom

Cell lengths 5.080, 5.080, 3.278 Å; angles 90.00, 90.00, 120.00 degrees
Sites, in units of the cell vectors:
Ba: 0.000 0.000 0.000
Zr: 0.333 0.667 0.577
Mo: 0.667 0.333 0.338

Entry 9:
# Cs2K7Hg

A geometry-optimized Cs2K7Hg structure (GGA-PBE, Alexandria).

Summary:
Symmetry = C2/c
Calculated formation energy = -0.03 eV/atom

Cell lengths 12.295, 12.295, 13.691 Å; angles 120.12, 120.12, 59.45 degrees
Sites, in units of the cell vectors:
Cs: 0.148 0.161 0.113
Cs: 0.161 0.148 0.613
Cs: 0.839 0.852 0.387
Cs: 0.852 0.839 0.887
K: 0.153 0.847 0.750
K: 0.158 0.595 0.192
K: 0.200 0.440 0.502
K: 0.296 0.553 0.914
K: 0.405 0.842 0.308
K: 0.440 0.200 0.002
K: 0.447 0.704 0.586
K: 0.553 0.296 0.414
K: 0.560 0.800 0.998
K: 0.595 0.158 0.692
K: 0.704 0.447 0.086
K: 0.800 0.560 0.498
K: 0.842 0.405 0.808
K: 0.847 0.153 0.250
Hg: 0.484 0.516 0.750
Hg: 0.516 0.484 0.250

Entry 10:
# Zn3Hg12As5

A geometry-optimized Zn3Hg12As5 structure (GGA-PBE, Alexandria).

Summary:
Symmetry = Ia-3d
Calculated formation energy = 0.17 eV/atom

Cell lengths 13.954, 13.954, 13.954 Å; angles 109.47, 109.47, 109.47 degrees
Sites, in units of the cell vectors:
Zn: 0.125 0.250 0.375
Zn: 0.125 0.375 0.750
Zn: 0.250 0.375 0.125
Zn: 0.250 0.875 0.625
Zn: 0.375 0.125 0.250
Zn: 0.375 0.750 0.125
Zn: 0.625 0.250 0.875
Zn: 0.625 0.875 0.750
Zn: 0.750 0.125 0.375
Zn: 0.750 0.625 0.875
Zn: 0.875 0.625 0.250
Zn: 0.875 0.750 0.625
Hg: 0.057 0.235 0.120
Hg: 0.057 0.322 0.937
Hg: 0.063 0.620 0.385
Hg: 0.063 0.943 0.678
Hg: 0.115 0.735 0.678
Hg: 0.115 0.880 0.437
Hg: 0.120 0.057 0.235
Hg: 0.120 0.563 0.885
Hg: 0.178 0.235 0.615
Hg: 0.178 0.443 0.563
Hg: 0.235 0.120 0.057
Hg: 0.235 0.615 0.178
Hg: 0.265 0.322 0.885
Hg: 0.265 0.443 0.380
Hg: 0.322 0.885 0.265
Hg: 0.322 0.937 0.057
Hg: 0.380 0.265 0.443
Hg: 0.380 0.615 0.937
Hg: 0.385 0.063 0.620
Hg: 0.385 0.822 0.765
Hg: 0.437 0.115 0.880
Hg: 0.437 0.822 0.557
Hg: 0.443 0.380 0.265
Hg: 0.443 0.563 0.178
Hg: 0.557 0.437 0.822
Hg: 0.557 0.620 0.735
Hg: 0.563 0.178 0.443
Hg: 0.563 0.885 0.120
Hg: 0.615 0.178 0.235
Hg: 0.615 0.937 0.380
Hg: 0.620 0.385 0.063
Hg: 0.620 0.735 0.557
Hg: 0.678 0.063 0.943
Hg: 0.678 0.115 0.735
Hg: 0.735 0.557 0.620
Hg: 0.735 0.678 0.115
Hg: 0.765 0.385 0.822
Hg: 0.765 0.880 0.943
Hg: 0.822 0.557 0.437
Hg: 0.822 0.765 0.385
Hg: 0.880 0.437 0.115
Hg: 0.880 0.943 0.765
Hg: 0.885 0.120 0.563
Hg: 0.885 0.265 0.322
Hg: 0.937 0.057 0.322
Hg: 0.937 0.380 0.615
Hg: 0.943 0.678 0.063
Hg: 0.943 0.765 0.880
As: 0.000 0.000 0.000
As: 0.000 0.000 0.500
As: 0.000 0.500 0.000
As: 0.000 0.500 0.500
As: 0.125 0.750 0.875
As: 0.125 0.875 0.250
As: 0.250 0.125 0.875
As: 0.250 0.625 0.375
As: 0.375 0.250 0.625
As: 0.375 0.625 0.750
As: 0.500 0.000 0.000
As: 0.500 0.000 0.500
As: 0.500 0.500 0.000
As: 0.500 0.500 0.500
As: 0.625 0.375 0.250
As: 0.625 0.750 0.375
As: 0.750 0.375 0.625
As: 0.750 0.875 0.125
As: 0.875 0.125 0.750
As: 0.875 0.250 0.125

Entry 11:
# Nd3Sm6Er2Tm

A geometry-optimized Nd3Sm6Er2Tm structure (GGA-PBE, Alexandria).

Summary:
Symmetry = C2/m
Calculated formation energy = 0.02 eV/atom

Cell lengths 6.259, 6.259, 11.940 Å; angles 95.01, 95.01, 120.00 degrees
Sites, in units of the cell vectors:
Nd: 0.000 0.000 0.000
Nd: 0.333 0.667 0.000
Nd: 0.667 0.333 0.000
Sm: 0.085 0.418 0.255
Sm: 0.249 0.249 0.745
Sm: 0.418 0.085 0.255
Sm: 0.582 0.915 0.745
Sm: 0.751 0.751 0.255
Sm: 0.915 0.582 0.745
Er: 0.167 0.833 0.500
Er: 0.833 0.167 0.500
Tm: 0.500 0.500 0.500

Entry 12:
# SrOsRu2O8

A geometry-optimized SrOsRu2O8 structure (GGA-PBE, Alexandria).

Summary:
E_form (uncorrected) = -1231 meV per atom
Symmetry = Cmmm

Cell lengths 4.789, 4.789, 6.431 Å; angles 90.00, 90.00, 92.36 degrees
Sites, in units of the cell vectors:
Sr: 0.000 0.000 0.000
Os: 0.000 0.000 0.500
Ru: 0.500 0.500 0.255
Ru: 0.500 0.500 0.745
O: 0.211 0.211 0.295
O: 0.211 0.211 0.705
O: 0.290 0.710 0.500
O: 0.338 0.662 0.000
O: 0.662 0.338 0.000
O: 0.710 0.290 0.500
O: 0.789 0.789 0.295
O: 0.789 0.789 0.705

Entry 13:
# USe2Cl

A geometry-optimized USe2Cl structure (GGA-PBE, Alexandria).

Summary:
E_form (uncorrected) = -1176 meV per atom
Excess energy over the best structure of this formula in the dataset = 0 meV/atom
Symmetry = P2_1/m

Cell lengths 3.861, 8.481, 7.275 Å; angles 90.00, 105.29, 90.00 degrees
Sites, in units of the cell vectors:
U: 0.243 0.250 0.486
U: 0.757 0.750 0.514
Se: 0.157 0.568 0.314
Se: 0.157 0.932 0.314
Se: 0.843 0.068 0.686
Se: 0.843 0.432 0.686
Cl: 0.392 0.750 0.786
Cl: 0.608 0.250 0.214

Entry 14:
# LaBe2Mo

A geometry-optimized LaBe2Mo structure (GGA-PBE, Alexandria).

Summary:
Excess energy over the best structure of this formula in the dataset = 318 meV/atom
Symmetry = I4/mmm
Calculated formation energy = 0.49 eV/atom

Cell lengths 4.076, 4.076, 7.771 Å; angles 90.00, 90.00, 90.00 degrees
Sites, in units of the cell vectors:
La: 0.000 0.000 0.000
La: 0.500 0.500 0.500
Be: 0.000 0.500 0.250
Be: 0.000 0.500 0.750
Be: 0.500 0.000 0.250
Be: 0.500 0.000 0.750
Mo: 0.000 0.000 0.500
Mo: 0.500 0.500 0.000

Entry 15:
# NaLi2H

A geometry-optimized NaLi2H structure (GGA-PBE, Alexandria).

Summary:
Excess energy over the best structure of this formula in the dataset = 28 meV/atom
Symmetry = R-3m

Cell lengths 3.058, 3.058, 25.155 Å; angles 90.00, 90.00, 120.00 degrees
Sites, in units of the cell vectors:
Na: 0.000 0.000 0.000
Na: 0.333 0.667 0.667
Na: 0.667 0.333 0.333
Li: 0.000 0.000 0.121
Li: 0.000 0.000 0.879
Li: 0.333 0.667 0.546
Li: 0.333 0.667 0.787
Li: 0.667 0.333 0.213
Li: 0.667 0.333 0.454
H: 0.000 0.000 0.500
H: 0.333 0.667 0.167
H: 0.667 0.333 0.833

Entry 16:
# AcPrSm6Tm2

A geometry-optimized AcPrSm6Tm2 structure (GGA-PBE, Alexandria).

Summary:
Symmetry = C2/c
Calculated formation energy = 0.12 eV/atom

Cell lengths 8.983, 8.983, 9.725 Å; angles 92.98, 92.98, 116.81 degrees
Sites, in units of the cell vectors:
Ac: 0.034 0.966 0.750
Ac: 0.966 0.034 0.250
Pr: 0.409 0.591 0.250
Pr: 0.591 0.409 0.750
Sm: 0.013 0.551 0.678
Sm: 0.114 0.753 0.056
Sm: 0.247 0.886 0.444
Sm: 0.293 0.516 0.882
Sm: 0.449 0.987 0.822
Sm: 0.484 0.707 0.618
Sm: 0.516 0.293 0.382
Sm: 0.551 0.013 0.178
Sm: 0.707 0.484 0.118
Sm: 0.753 0.114 0.556
Sm: 0.886 0.247 0.944
Sm: 0.987 0.449 0.322
Tm: 0.202 0.308 0.550
Tm: 0.308 0.202 0.050
Tm: 0.692 0.798 0.950
Tm: 0.798 0.692 0.450

Entry 17:
# LiSi2Ni

A geometry-optimized LiSi2Ni structure (GGA-PBE, Alexandria).

Summary:
E_form (uncorrected) = -201 meV per atom
Excess energy over the best structure of this formula in the dataset = 155 meV/atom
Symmetry = C2/m

Cell lengths 7.688, 2.785, 5.010 Å; angles 90.00, 99.90, 90.00 degrees
Sites, in units of the cell vectors:
Li: 0.000 0.000 0.000
Li: 0.500 0.500 0.000
Si: 0.239 0.000 0.712
Si: 0.261 0.500 0.288
Si: 0.739 0.500 0.712
Si: 0.761 0.000 0.288
Ni: 0.000 0.500 0.500
Ni: 0.500 0.000 0.500

Entry 18:
# NaCo3Sb

A geometry-optimized NaCo3Sb structure (GGA-PBE, Alexandria).

Summary:
E_form (uncorrected) = 1624 meV per atom
Excess energy over the best structure of this formula in the dataset = 660 meV/atom
Symmetry = Pm-3m

Cell lengths 4.411, 4.411, 4.411 Å; angles 90.00, 90.00, 90.00 degrees
Sites, in units of the cell vectors:
Na: 0.000 0.000 0.000
Co: 0.000 0.000 0.500
Co: 0.000 0.500 0.000
Co: 0.500 0.000 0.000
Sb: 0.500 0.500 0.500

Entry 19:
# LiCe3S2Cl6

A geometry-optimized LiCe3S2Cl6 structure (GGA-PBE, Alexandria).

Summary:
E_form (uncorrected) = -2003 meV per atom
Symmetry = C2/m

Cell lengths 8.013, 8.013, 6.142 Å; angles 91.79, 91.79, 62.91 degrees
Sites, in units of the cell vectors:
Li: 0.000 0.000 0.000
Ce: 0.000 0.500 0.000
Ce: 0.500 0.000 0.000
Ce: 0.500 0.500 0.500
S: 0.329 0.329 0.241
S: 0.671 0.671 0.759
Cl: 0.149 0.149 0.779
Cl: 0.166 0.673 0.749
Cl: 0.327 0.834 0.251
Cl: 0.673 0.166 0.749
Cl: 0.834 0.327 0.251
Cl: 0.851 0.851 0.221

Entry 20:
# La3Ce2ScTe6

A geometry-optimized La3Ce2ScTe6 structure (GGA-PBE, Alexandria).

Summary:
E_form (uncorrected) = -1421 meV per atom
Symmetry = C2/m

Cell lengths 10.034, 10.034, 9.040 Å; angles 103.32, 103.32, 25.68 degrees
Sites, in units of the cell vectors:
La: 0.000 0.000 0.000
La: 0.329 0.329 0.664
La: 0.671 0.671 0.336
Ce: 0.334 0.334 0.166
Ce: 0.666 0.666 0.834
Sc: 0.000 0.000 0.500
Te: 0.157 0.157 0.582
Te: 0.168 0.168 0.081
Te: 0.499 0.499 0.729
Te: 0.501 0.501 0.271
Te: 0.832 0.832 0.919
Te: 0.843 0.843 0.418